Record 1
# Li3V2Fe2O8, PBEsol geometry, DFT SCAN
data_Li3V2Fe2O8
_cell_length_a 5.638
_cell_length_b 5.638
_cell_length_c 5.813
_cell_angle_alpha 119.39
_cell_angle_beta 119.39
_cell_angle_gamma 60.49
_space_group_name_H-M_alt 'P 1'
_space_group_IT_number 1
loop_
_space_group_symop_operation_xyz
'x,y,z'
loop_
_atom_site_label
_atom_site_type_symbol
_atom_site_fract_x
_atom_site_fract_y
_atom_site_fract_z
Li1 Li 0.000 0.000 0.000
Li2 Li 0.000 0.500 0.500
Li3 Li 0.500 0.000 0.500
V1 V 0.000 0.500 0.000
V2 V 0.500 0.000 0.000
Fe1 Fe 0.500 0.500 0.000
Fe2 Fe 0.500 0.500 0.500
O1 O 0.245 0.245 0.230
O2 O 0.256 0.726 0.228
O3 O 0.259 0.259 0.774
O4 O 0.274 0.744 0.772
O5 O 0.726 0.256 0.228
O6 O 0.741 0.741 0.226
O7 O 0.744 0.274 0.772
O8 O 0.755 0.755 0.770
# N(E_F)   1.685 states/eV/f.u.
# ΔE_f (raw)   -33.09 eV/f.u.

Record 2
# Li2V3FeO8, PBEsol geometry, DFT SCAN
data_Li2V3FeO8
_cell_length_a 5.843
_cell_length_b 5.843
_cell_length_c 5.843
_cell_angle_alpha 58.46
_cell_angle_beta 58.46
_cell_angle_gamma 58.46
_space_group_name_H-M_alt 'P 1'
_space_group_IT_number 1
loop_
_space_group_symop_operation_xyz
'x,y,z'
loop_
_atom_site_label
_atom_site_type_symbol
_atom_site_fract_x
_atom_site_fract_y
_atom_site_fract_z
Li1 Li 0.000 0.000 0.000
Li2 Li 0.381 0.381 0.381
V1 V 0.009 0.009 0.483
V2 V 0.009 0.483 0.009
V3 V 0.483 0.009 0.009
Fe1 Fe 0.625 0.625 0.625
O1 O 0.223 0.751 0.751
O2 O 0.248 0.248 0.248
O3 O 0.251 0.251 0.783
O4 O 0.251 0.783 0.251
O5 O 0.751 0.223 0.751
O6 O 0.751 0.751 0.223
O7 O 0.761 0.761 0.761
O8 O 0.783 0.251 0.251
# N(E_F)   6.330 states/eV/f.u.
# ΔE_f (raw)   -34.02 eV/f.u.

Record 3
# Li2VFe3O8, PBEsol geometry, DFT SCAN
data_Li2VFe3O8
_cell_length_a 7.973
_cell_length_b 7.973
_cell_length_c 7.973
_cell_angle_alpha 90.00
_cell_angle_beta 90.00
_cell_angle_gamma 90.00
_space_group_name_H-M_alt 'P 1'
_space_group_IT_number 1
loop_
_space_group_symop_operation_xyz
'x,y,z'
loop_
_atom_site_label
_atom_site_type_symbol
_atom_site_fract_x
_atom_site_fract_y
_atom_site_fract_z
Li1 Li 0.010 0.490 0.510
Li2 Li 0.240 0.740 0.760
Li3 Li 0.260 0.260 0.260
Li4 Li 0.490 0.510 0.010
Li5 Li 0.510 0.010 0.490
Li6 Li 0.740 0.760 0.240
Li7 Li 0.760 0.240 0.740
Li8 Li 0.990 0.990 0.990
V1 V 0.125 0.875 0.375
V2 V 0.375 0.125 0.875
V3 V 0.625 0.625 0.625
V4 V 0.875 0.375 0.125
Fe1 Fe 0.118 0.625 0.132
Fe2 Fe 0.125 0.368 0.882
Fe3 Fe 0.132 0.118 0.625
Fe4 Fe 0.368 0.882 0.125
Fe5 Fe 0.375 0.632 0.382
Fe6 Fe 0.382 0.375 0.632
Fe7 Fe 0.618 0.875 0.868
Fe8 Fe 0.625 0.132 0.118
Fe9 Fe 0.632 0.382 0.375
Fe10 Fe 0.868 0.618 0.875
Fe11 Fe 0.875 0.868 0.618
Fe12 Fe 0.882 0.125 0.368
O1 O 0.103 0.603 0.897
O2 O 0.114 0.880 0.617
O3 O 0.117 0.386 0.120
O4 O 0.120 0.117 0.386
O5 O 0.130 0.864 0.133
O6 O 0.133 0.130 0.864
O7 O 0.136 0.633 0.370
O8 O 0.147 0.353 0.647
O9 O 0.353 0.647 0.147
O10 O 0.364 0.367 0.870
O11 O 0.367 0.870 0.364
O12 O 0.370 0.136 0.633
O13 O 0.380 0.883 0.886
O14 O 0.383 0.614 0.620
O15 O 0.386 0.120 0.117
O16 O 0.397 0.397 0.397
O17 O 0.603 0.897 0.103
O18 O 0.614 0.620 0.383
O19 O 0.617 0.114 0.880
O20 O 0.620 0.383 0.614
O21 O 0.630 0.636 0.867
O22 O 0.633 0.370 0.136
O23 O 0.636 0.867 0.630
O24 O 0.647 0.147 0.353
O25 O 0.853 0.853 0.853
O26 O 0.864 0.133 0.130
O27 O 0.867 0.630 0.636
O28 O 0.870 0.364 0.367
O29 O 0.880 0.617 0.114
O30 O 0.883 0.886 0.380
O31 O 0.886 0.380 0.883
O32 O 0.897 0.103 0.603
# N(E_F)   3.524 states/eV/f.u.
# ΔE_f (raw)   -27.83 eV/f.u.